Record 1
LiTl2Pb GGA-PBE optimized geometry; M_tot = 0.000 μB per atom; polymorph energy (0 for the lowest one) = 38.0 meV per atom; crystal system = cubic; formation energy = -0.056 eV per atom
1.0
0.000 3.827 3.827
3.827 0.000 3.827
3.827 3.827 0.000
Pb Tl Li
1 2 1
direct
0.500 0.500 0.500
0.250 0.250 0.250
0.750 0.750 0.750
0.000 0.000 0.000

Record 2
LiTlPb GGA-PBE optimized geometry; M_tot = 0.000 μB per atom; crystal system = hexagonal; formation energy = 0.451 eV per atom
1.0
3.985 -2.300 0.000
0.000 4.601 0.000
0.000 0.000 12.036
Pb Tl Li
2 2 2
direct
0.000 0.000 0.000
0.000 0.000 0.500
0.000 0.000 0.250
0.000 0.000 0.750
0.333 0.667 0.250
0.667 0.333 0.750

Record 3
LiTlPb2 GGA-PBE optimized geometry; M_tot = 0.000 μB per atom; crystal system = orthorhombic; formation energy = -0.089 eV per atom
1.0
3.498 0.000 0.000
0.000 4.384 0.000
0.000 0.000 7.189
Pb Tl Li
2 1 1
direct
0.000 0.000 0.977
0.500 0.500 0.251
0.000 0.000 0.522
0.500 0.500 0.750

Looking at N(E_F) for the records above, in order, we have 4.09 5.12 1.25 states/eV/cell.